# CsThFe

A relaxed CsThFe crystal (PBE-GGA, OQMD).

POSCAR file:
```
CsThFe
1.0
0.000 3.459 3.459
3.459 0.000 3.459
3.459 3.459 0.000
Cs Th Fe
1 1 1
direct
0.000 0.000 0.000
0.250 0.250 0.250
0.750 0.750 0.750
```

## Properties
Space-group type: F-43m
Total energy: -10.77 eV for the cell shown